# 1
# Na2LiRhO4, relaxed, DFT PBE
data_Na2LiRhO4
_space_group_name_H-M_alt 'P 1 2/m 1'
_space_group_IT_number 10
_cell_length_a 5.267
_cell_length_b 3.142
_cell_length_c 5.572
_cell_angle_alpha 90.00
_cell_angle_beta 107.99
_cell_angle_gamma 90.00
loop_
_space_group_symop_operation_xyz
'x,y,z'
'-x,-y,-z'
'-x,y,-z'
'x,-y,z'
loop_
_atom_site_label
_atom_site_type_symbol
_atom_site_fract_x
_atom_site_fract_y
_atom_site_fract_z
Na1 Na 0.000 0.000 0.000
Na2 Na 0.500 0.500 0.000
Li1 Li 0.000 0.500 0.500
Rh1 Rh 0.500 0.000 0.500
O1 O 0.266 0.000 0.705
O2 O 0.280 0.500 0.298
# uncorrected formation energy: -1.28 eV/atom
# crystal system: monoclinic
# uncorrected energy: -41.98 eV/cell

=====

# 2
# Na2LiRh3O8, relaxed, DFT PBE
data_Na2LiRh3O8
_space_group_name_H-M_alt 'R 3 m'
_space_group_IT_number 160
_space_group_name_Hall 'R 3 -2"'
_cell_length_a 6.1885
_cell_length_b 6.1885
_cell_length_c 16.7171
_cell_angle_alpha 90.00
_cell_angle_beta 90.00
_cell_angle_gamma 120.00
loop_
_atom_site_label
_atom_site_type_symbol
_atom_site_fract_x
_atom_site_fract_y
_atom_site_fract_z
Na1 Na 0.0000 0.0000 0.0000
Na2 Na 0.0000 0.0000 0.3667
Li1 Li 0.0000 0.0000 0.8070
Rh1 Rh 0.0008 0.5004 0.8664
O1 O 0.0000 0.0000 0.1373
O2 O 0.0000 0.0000 0.5911
O3 O 0.0291 0.5145 0.1383
O4 O 0.1814 0.3629 0.9271
# uncorrected formation energy: -1.05 eV/atom
# crystal system: trigonal
# uncorrected energy: -242.90 eV/cell

=====

# 3
# NaLiRhO3, relaxed, DFT PBE
data_NaLiRhO3
_space_group_name_H-M_alt 'P 1 21/m 1'
_space_group_IT_number 11
_cell_length_a 5.663
_cell_length_b 3.143
_cell_length_c 7.686
_cell_angle_alpha 90.00
_cell_angle_beta 98.89
_cell_angle_gamma 90.00
loop_
_space_group_symop_operation_xyz
'x,y,z'
'-x,-y,-z'
'-x,y+1/2,-z'
'x,-y+1/2,z'
loop_
_atom_site_label
_atom_site_type_symbol
_atom_site_fract_x
_atom_site_fract_y
_atom_site_fract_z
Na1 Na 0.110 0.250 0.175
Li1 Li 0.181 0.750 0.541
Rh1 Rh 0.389 0.250 0.827
O1 O 0.078 0.250 0.668
O2 O 0.297 0.750 0.985
O3 O 0.499 0.750 0.698
# uncorrected formation energy: -1.26 eV/atom
# crystal system: monoclinic
# uncorrected energy: -66.07 eV/cell

=====

# 4
# Na3Li2RhO6, relaxed, DFT PBE
data_Na3Li2RhO6
_space_group_name_H-M_alt 'C 1 2/m 1'
_space_group_IT_number 12
_cell_length_a 5.326
_cell_length_b 9.236
_cell_length_c 5.575
_cell_angle_alpha 90.00
_cell_angle_beta 108.55
_cell_angle_gamma 90.00
loop_
_space_group_symop_operation_xyz
'x,y,z'
'-x,-y,-z'
'-x,y,-z'
'x,-y,z'
'x+1/2,y+1/2,z'
'-x+1/2,-y+1/2,-z'
'-x+1/2,y+1/2,-z'
'x+1/2,-y+1/2,z'
loop_
_atom_site_label
_atom_site_type_symbol
_atom_site_fract_x
_atom_site_fract_y
_atom_site_fract_z
Na1 Na 0.000 0.000 0.000
Na2 Na 0.000 0.324 0.000
Li1 Li 0.000 0.167 0.500
Rh1 Rh 0.000 0.500 0.500
O1 O 0.222 0.348 0.707
O2 O 0.232 0.500 0.291
# uncorrected formation energy: -1.21 eV/atom
# crystal system: monoclinic
# uncorrected energy: -118.88 eV/cell

=====

# 5
# NaLi2RhO4, relaxed, DFT PBE
data_NaLi2RhO4
_space_group_name_H-M_alt 'I -4 2 m'
_space_group_IT_number 121
_space_group_name_Hall 'I -4 2'
_cell_length_a 5.146
_cell_length_b 5.146
_cell_length_c 7.517
_cell_angle_alpha 90.00
_cell_angle_beta 90.00
_cell_angle_gamma 90.00
loop_
_atom_site_label
_atom_site_type_symbol
_atom_site_fract_x
_atom_site_fract_y
_atom_site_fract_z
Na1 Na 0.000 0.000 0.000
Li1 Li 0.000 0.500 0.250
Rh1 Rh 0.000 0.000 0.500
O1 O 0.211 0.211 0.358
# uncorrected formation energy: -1.23 eV/atom
# crystal system: tetragonal
# uncorrected energy: -84.31 eV/cell

=====

# 6
# Na3LiRh2O6, relaxed, DFT PBE
data_Na3LiRh2O6
_space_group_name_H-M_alt 'C 1 2/m 1'
_space_group_IT_number 12
_cell_length_a 5.362
_cell_length_b 9.277
_cell_length_c 5.612
_cell_angle_alpha 90.00
_cell_angle_beta 108.63
_cell_angle_gamma 90.00
loop_
_space_group_symop_operation_xyz
'x,y,z'
'-x,-y,-z'
'-x,y,-z'
'x,-y,z'
'x+1/2,y+1/2,z'
'-x+1/2,-y+1/2,-z'
'-x+1/2,y+1/2,-z'
'x+1/2,-y+1/2,z'
loop_
_atom_site_label
_atom_site_type_symbol
_atom_site_fract_x
_atom_site_fract_y
_atom_site_fract_z
Na1 Na 0.000 0.000 0.000
Na2 Na 0.000 0.340 0.000
Li1 Li 0.000 0.500 0.500
Rh1 Rh 0.000 0.167 0.500
O1 O 0.215 0.000 0.704
O2 O 0.245 0.323 0.704
# uncorrected formation energy: -1.27 eV/atom
# crystal system: monoclinic
# uncorrected energy: -131.09 eV/cell

=====

# 7
# Na2LiRuO4, relaxed, DFT PBE
data_Na2LiRuO4
_space_group_name_H-M_alt 'I -4'
_space_group_IT_number 82
_cell_length_a 5.429
_cell_length_b 5.429
_cell_length_c 7.327
_cell_angle_alpha 90.00
_cell_angle_beta 90.00
_cell_angle_gamma 90.00
loop_
_space_group_symop_operation_xyz
'x,y,z'
'y,-x,-z'
'-x,-y,z'
'-y,x,-z'
'x+1/2,y+1/2,z+1/2'
'y+1/2,-x+1/2,-z+1/2'
'-x+1/2,-y+1/2,z+1/2'
'-y+1/2,x+1/2,-z+1/2'
loop_
_atom_site_label
_atom_site_type_symbol
_atom_site_fract_x
_atom_site_fract_y
_atom_site_fract_z
Na1 Na 0.000 0.000 0.000
Na2 Na 0.000 0.500 0.250
Li1 Li 0.000 0.000 0.500
Ru1 Ru 0.000 0.500 0.750
O1 O 0.186 0.261 0.634
# uncorrected formation energy: -1.34 eV/atom
# crystal system: tetragonal
# uncorrected energy: -88.69 eV/cell

=====

# 8
# NaLiRuO4, relaxed, DFT PBE
data_NaLiRuO4
_space_group_name_H-M_alt 'P 1 21/m 1'
_space_group_IT_number 11
_cell_length_a 5.664
_cell_length_b 5.841
_cell_length_c 6.370
_cell_angle_alpha 90.00
_cell_angle_beta 104.96
_cell_angle_gamma 90.00
loop_
_space_group_symop_operation_xyz
'x,y,z'
'-x,-y,-z'
'-x,y+1/2,-z'
'x,-y+1/2,z'
loop_
_atom_site_label
_atom_site_type_symbol
_atom_site_fract_x
_atom_site_fract_y
_atom_site_fract_z
Na1 Na 0.243 0.250 0.041
Li1 Li 0.143 0.250 0.477
Ru1 Ru 0.284 0.750 0.319
O1 O 0.057 0.521 0.283
O2 O 0.426 0.750 0.102
O3 O 0.498 0.750 0.578
# uncorrected formation energy: -1.23 eV/atom
# crystal system: monoclinic
# uncorrected energy: -81.89 eV/cell

=====

Taking the records one at a time from the top gives total magnetization values of 2.000; 6.237; 2.042; 4.156; 0.000; 4.113; 2.061; 4.016 Bohr magnetons per cell.